Entry 1:
## Dy3Pd (GGA-PBE)

Data for a geometry-optimized Dy3Pd structure.

Unit cell a=3.5251 b=3.6688 c=9.0076 alpha=90.00 beta=90.00 gamma=90.00
Closest atoms and distances in Å follow each position.
Space group Pmm2 (No. 25)
Asymmetric unit:
Dy1 0.0000 0.0000 0.0000  10 Dy 3.53-3.67
Dy2 0.0000 0.5000 0.3347  4 Pd 2.86
Dy3 0.5000 0.5000 0.7244  2 Pd 2.87
Pd1 0.5000 0.0000 0.4792  6 Dy 2.86-2.87

Its total energy is -4.96 eV per atom. The energy of formation is -0.21 eV per atom. As for the total magnetization: 0.000 Bohr magnetons per cell.



Entry 2:
## Ba3La3TbS8 (GGA-PBE)

Data for a geometry-optimized Ba3La3TbS8 structure.

Unit cell a=14.6489 b=8.4499 c=8.7828 alpha=90.00 beta=123.79 gamma=90.00
Closest atoms and distances in Å follow each position.
Space group C2/m (No. 12)
Asymmetric unit:
Ba1 0.0000 0.0000 0.0000  6 S 3.16-3.19
Ba2 0.2500 0.2500 0.0000  6 S 3.16-3.19
La1 0.0000 0.5000 0.5000  6 S 2.93-2.94
La2 0.2500 0.2500 0.5000  6 S 2.93-2.94
Tb1 0.0000 0.0000 0.5000  6 S 2.80
S1 0.0095 0.2396 0.2888  1 Tb 2.80, 2 La 2.93
S2 0.2302 0.0000 0.7113  1 Tb 2.80, 2 La 2.93
S3 0.2416 0.5000 0.7248  3 La 2.94, 3 Ba 3.16

Its total energy is -5.99 eV per atom. For the formation energy from raw total energies, the calculation gives -2.11 eV per atom. As for the total magnetization: 0.000 Bohr magnetons per cell.



Entry 3:
## PmZnSb2 (GGA-PBE)

Data for a geometry-optimized PmZnSb2 structure.

Unit cell a=4.3358 b=4.3358 c=20.6953 alpha=90.00 beta=90.00 gamma=120.00
Closest atoms and distances in Å follow each position.
Space group R-3m (No. 166, hexagonal axes)
Asymmetric unit:
Pm1 0.0000 0.0000 0.0000  6 Sb 3.18
Zn1 0.0000 0.0000 0.5000  6 Sb 2.92
Sb1 0.0000 0.0000 0.2390  3 Zn 2.92, 3 Pm 3.18

Its total energy is -3.87 eV per atom. For the formation energy from raw total energies, the calculation gives -0.30 eV per atom. As for the total magnetization: 0.000 Bohr magnetons per cell.



Entry 4:
## LaZn9Sn2 (GGA-PBE)

Data for a geometry-optimized LaZn9Sn2 structure.

Unit cell a=5.5911 b=5.5911 c=25.0215 alpha=90.00 beta=90.00 gamma=120.00
Closest atoms and distances in Å follow each position.
Space group R-3m (No. 166, hexagonal axes)
Asymmetric unit:
La1 0.0000 0.0000 0.0000  18 Zn 3.23-3.49, 2 Sn 3.43
Zn1 0.0000 0.0000 0.3316  6 Zn 2.60-2.68
Zn2 0.0000 0.0000 0.5000  6 Zn 2.63
Zn3 0.0012 0.5006 0.9164  7 Zn 2.60-2.81
Sn1 0.0000 0.0000 0.1371  12 Zn 3.10-3.31, 1 La 3.43

Its total energy is -2.15 eV per atom. The energy of formation is -0.12 eV per atom. As for the total magnetization: 0.000 Bohr magnetons per cell.



Entry 5:
## ScAlP2Pd (GGA-PBE)

Data for a geometry-optimized ScAlP2Pd structure.

Unit cell a=4.8064 b=4.8064 c=5.1978 alpha=90.00 beta=90.00 gamma=90.00
Closest atoms and distances in Å follow each position.
Space group P4/mmm (No. 123)
Asymmetric unit:
Sc1 0.0000 0.0000 0.0000  4 P 2.40, 2 Al 2.60
Al1 0.0000 0.0000 0.5000  2 Sc 2.60
P1 0.0000 0.5000 0.0000  2 Sc 2.40
Pd1 0.5000 0.5000 0.5000  4 Al 3.40, 8 P 3.54

Its total energy is -4.53 eV per atom. The energy of formation is 0.69 eV per atom. As for the total magnetization: 0.000 Bohr magnetons per cell.



Entry 6:
## WAuBr2 (GGA-PBE)

Data for a geometry-optimized WAuBr2 structure.

Unit cell a=3.1179 b=3.1179 c=8.8394 alpha=90.00 beta=90.00 gamma=90.00
Closest atoms and distances in Å follow each position.
Space group P4mm (No. 99)
Asymmetric unit:
W1 0.0000 0.0000 0.0000  4 Br 2.74, 4 Au 2.84
Au1 0.5000 0.5000 0.2016  4 W 2.84, 4 Br 3.09, 4 Au 3.12
Br1 0.0000 0.0000 0.4463  4 Au 3.09, 4 Br 3.12
Br2 0.5000 0.5000 0.8166  4 W 2.74

Its total energy is -4.41 eV per atom. For the formation energy from raw total energies, the calculation gives 0.49 eV per atom. As for the total magnetization: 0.000 Bohr magnetons per cell.



What did the first record say?
## Dy3Pd (GGA-PBE)

Data for a geometry-optimized Dy3Pd structure.

Unit cell a=3.5251 b=3.6688 c=9.0076 alpha=90.00 beta=90.00 gamma=90.00
Closest atoms and distances in Å follow each position.
Space group Pmm2 (No. 25)
Asymmetric unit:
Dy1 0.0000 0.0000 0.0000  10 Dy 3.53-3.67
Dy2 0.0000 0.5000 0.3347  4 Pd 2.86
Dy3 0.5000 0.5000 0.7244  2 Pd 2.87
Pd1 0.5000 0.0000 0.4792  6 Dy 2.86-2.87

Its total energy is -4.96 eV per atom. The energy of formation is -0.21 eV per atom. As for the total magnetization: 0.000 Bohr magnetons per cell.